[1]
## PrDy3H (PBE)

Data for PrDy3H after structural relaxation.

extended XYZ file:
```
5
Lattice="-0.490 -4.201 2.732 4.889 -1.003 -0.666 1.100 2.588 4.177" Properties=species:S:1:pos:R:3 pbc="T T T"
Pr 2.749 -1.308 3.121
H 0.000 0.000 0.000
Dy 2.444 -0.502 -0.333
Dy 0.550 1.294 2.088
Dy -0.245 -2.100 1.366
```

Properties
**Electronic total energy**: -4.5544 eV per atom
**Total moment**: 0.00 μB per formula unit
**Density of states at the Fermi level**: 4.63 states/eV/cell



[2]
## PrY2Al9 (PBE)

Data for PrY2Al9 after structural relaxation.

extended XYZ file:
```
12
Lattice="5.620 0.000 0.000 2.810 4.867 0.000 2.810 1.622 8.779" Properties=species:S:1:pos:R:3 pbc="T T T"
Pr 0.000 0.000 0.000
Y 8.430 4.867 3.733
Y 2.810 1.622 5.046
Al 5.620 3.245 0.061
Al 5.620 3.245 8.717
Al 5.620 3.245 4.389
Al 4.182 2.415 2.208
Al 7.057 2.415 2.208
Al 5.620 4.904 2.208
Al 7.057 4.075 6.571
Al 5.620 1.585 6.571
Al 4.182 4.075 6.571
```

Properties
**Electronic total energy**: -4.6793 eV per atom
**Total moment**: 0.00 μB per formula unit
**Density of states at the Fermi level**: 4.73 states/eV/cell



[3]
## EuErIn2 (PBE)

Data for EuErIn2 after structural relaxation.

extended XYZ file:
```
4
Lattice="-2.455 2.139 -1.741 -3.589 -0.862 0.088 -3.142 5.976 7.859" Properties=species:S:1:pos:R:3 pbc="T T T"
Eu -4.593 3.627 3.103
In -6.900 5.495 4.738
In -2.285 1.759 1.469
Er 0.000 0.000 0.000
```

Properties
**Electronic total energy**: -5.3625 eV per atom
**Total moment**: 7.25 μB per formula unit
**Density of states at the Fermi level**: 6.93 states/eV/cell



[4]
## FeMo2Cl8 (PBE)

Data for FeMo2Cl8 after structural relaxation.

extended XYZ file:
```
11
Lattice="-4.241 -1.179 4.281 4.936 0.931 6.186 -0.108 7.394 2.969" Properties=species:S:1:pos:R:3 pbc="T T T"
Fe 0.000 0.000 0.000
Mo 1.301 6.162 10.340
Mo -0.714 0.984 3.097
Cl 0.297 6.497 5.226
Cl -2.790 4.596 6.247
Cl 2.943 6.640 8.725
Cl -2.356 0.506 4.712
Cl 3.377 2.550 7.190
Cl 0.290 0.650 8.211
Cl 0.228 4.664 9.011
Cl 0.359 2.483 4.426
```

Properties
**Electronic total energy**: -4.6007 eV per atom
**Total moment**: 8.88 μB per formula unit
**Energy relative to the elements, uncorrected**: -0.519 eV/atom
**Density of states at the Fermi level**: 8.46 states/eV/cell



[5]
## Cu8O7 (PBE)

Data for Cu8O7 after structural relaxation.

extended XYZ file:
```
15
Lattice="-5.346 1.790 -1.557 0.924 -1.959 -5.433 -4.101 -4.596 -2.188" Properties=species:S:1:pos:R:3 pbc="T T T"
Cu -5.480 -1.342 -7.494
Cu -3.669 -0.167 -1.358
Cu -5.347 -3.604 -5.108
Cu -7.991 -2.721 -5.879
Cu -3.215 -1.137 -4.045
Cu -5.933 -0.380 -4.826
Cu -5.719 -2.513 -2.416
Cu -3.094 -3.392 -1.651
O -6.628 -5.145 -7.918
O 0.129 -1.483 -4.941
O -0.350 -0.543 -2.213
O -3.487 -2.845 -5.067
O -6.219 -2.088 -5.804
O -6.623 -0.970 -3.128
O -3.892 -1.726 -2.390
```

Properties
**Excess energy over the best structure of this formula in the dataset**: 0.014 eV per atom
**Electronic total energy**: -4.9879 eV per atom
**Total moment**: 0.79 μB per formula unit
**Energy relative to the elements, uncorrected**: -0.489 eV/atom
**Density of states at the Fermi level**: 8.79 states/eV/cell



[6]
## Na4Tb3SnS8 (PBE)

Data for Na4Tb3SnS8 after structural relaxation.

extended XYZ file:
```
16
Lattice="7.996 0.000 0.000 0.000 8.124 0.080 -3.998 -3.994 5.657" Properties=species:S:1:pos:R:3 pbc="T T T"
Na 3.998 0.000 0.000
Na 1.999 -1.997 2.828
Na 0.000 0.000 0.000
Na -1.999 -1.997 2.828
Tb 3.998 4.062 0.040
Tb 1.999 2.065 2.868
Tb -1.999 2.065 2.868
Sn 0.000 4.062 0.040
S -2.012 1.964 5.632
S 0.000 3.974 2.786
S 0.000 0.155 2.933
S 2.012 1.964 5.632
S 1.986 2.166 0.104
S 3.998 3.974 2.804
S 3.998 0.156 2.950
S 6.010 2.166 0.104
```

Properties
**Electronic total energy**: -5.0669 eV per atom
**Total moment**: 0.00 μB per formula unit
**Energy relative to the elements, uncorrected**: -1.555 eV/atom
**Density of states at the Fermi level**: 1.34 states/eV/cell



[7]
## LiCePu2Te4 (PBE)

Data for LiCePu2Te4 after structural relaxation.

extended XYZ file:
```
8
Lattice="5.394 0.000 0.000 0.000 5.328 -0.847 0.000 -4.060 8.382" Properties=species:S:1:pos:R:3 pbc="T T T"
Li 2.697 2.664 -0.424
Ce 0.000 0.000 0.000
Pu 2.697 -2.030 4.191
Pu 0.000 0.634 3.767
Te 2.697 0.343 1.919
Te 2.697 0.925 5.616
Te 0.000 -1.726 6.035
Te 0.000 2.995 1.500
```

Properties
**Electronic total energy**: -7.0997 eV per atom
**Total moment**: 0.69 μB per formula unit
**Energy relative to the elements, uncorrected**: -0.965 eV/atom
**Density of states at the Fermi level**: 24.12 states/eV/cell



[8]
## PrZr2N4 (PBE)

Data for PrZr2N4 after structural relaxation.

extended XYZ file:
```
14
Lattice="-1.315 -1.321 -6.474 -4.879 -4.253 1.869 -0.063 6.370 2.212" Properties=species:S:1:pos:R:3 pbc="T T T"
Pr -4.019 -0.335 0.888
Pr -1.315 -1.321 -6.473
Zr -5.107 -2.955 -1.858
Zr -2.699 2.357 -1.687
Zr -2.041 3.017 1.550
Zr -2.668 -0.828 -2.792
N -3.974 0.982 -2.899
N -1.424 3.731 -0.474
N -1.842 0.073 -4.662
N -1.271 0.646 -1.863
N -1.863 2.822 -3.705
N -3.493 -1.729 -0.923
N -4.063 -2.302 -3.722
N -3.535 1.891 0.332
```

Properties
**Excess energy over the best structure of this formula in the dataset**: 0.039 eV per atom
**Electronic total energy**: -9.0932 eV per atom
**Total moment**: 0.00 μB per formula unit
**Energy relative to the elements, uncorrected**: -1.211 eV/atom
**Density of states at the Fermi level**: 9.94 states/eV/cell



[9]
## ScBeFePb2 (PBE)

Data for ScBeFePb2 after structural relaxation.

extended XYZ file:
```
5
Lattice="4.854 0.000 0.000 0.000 4.854 0.000 0.000 0.000 4.795" Properties=species:S:1:pos:R:3 pbc="T T T"
Pb 0.000 2.427 0.000
Pb 2.427 0.000 0.000
Sc 0.000 0.000 2.398
Fe 2.427 2.427 2.398
Be 0.000 0.000 0.000
```

Properties
**Electronic total energy**: -4.5095 eV per atom
**Total moment**: 2.94 μB per formula unit
**Density of states at the Fermi level**: 3.67 states/eV/cell



[10]
## Sr2BeCu (PBE)

Data for Sr2BeCu after structural relaxation.

extended XYZ file:
```
4
Lattice="-1.907 -1.113 -2.680 -2.023 -1.794 2.178 -5.250 6.950 0.850" Properties=species:S:1:pos:R:3 pbc="T T T"
Sr -4.835 6.400 0.783
Sr -3.703 0.847 0.030
Cu -5.471 3.188 0.317
Be -3.047 4.034 0.494
```

Properties
**Electronic total energy**: -2.4858 eV per atom
**Total moment**: 0.00 μB per formula unit
**Density of states at the Fermi level**: 2.46 states/eV/cell



[11]
## CuHgCl4 (PBE)

Data for CuHgCl4 after structural relaxation.

extended XYZ file:
```
6
Lattice="3.837 -4.093 2.020 -1.650 -3.753 4.330 -0.874 -5.769 -1.228" Properties=species:S:1:pos:R:3 pbc="T T T"
Cu 0.985 -10.212 3.841
Hg 0.000 0.000 0.000
Cl 2.409 -7.152 2.930
Cl 0.056 -7.989 1.308
Cl -0.331 -6.982 4.084
Cl 0.493 -5.108 1.921
```

Properties
**Excess energy over the best structure of this formula in the dataset**: 1.132 eV per atom
**Electronic total energy**: -1.2998 eV per atom
**Total moment**: 2.71 μB per formula unit
**Energy relative to the elements, uncorrected**: 0.664 eV/atom
**Density of states at the Fermi level**: 8.14 states/eV/cell



[12]
## K2BeAg (PBE)

Data for K2BeAg after structural relaxation.

extended XYZ file:
```
4
Lattice="3.517 0.000 0.000 0.000 3.507 0.000 0.000 0.000 10.118" Properties=species:S:1:pos:R:3 pbc="T T T"
Be 1.759 1.754 6.466
K 0.000 0.000 9.329
K 1.759 1.754 3.354
Ag 0.000 0.000 6.147
```

Properties
**Electronic total energy**: -1.8239 eV per atom
**Total moment**: 0.00 μB per formula unit
**Density of states at the Fermi level**: 1.33 states/eV/cell



> Which value of density of states at the Fermi level does entry 11 give?

8.14 states/eV/cell